No. 1
This record from Alexandria via LeMat-Bulk describes crystalline CaRuSe2 at its relaxed geometry. The functional is PBEsol.

Cell and atoms, written as CIF:
```
data_CaRuSe2
_chemical_formula_sum 'Ca2 Ru2 Se4'
_space_group_name_H-M_alt 'I m m m'
_space_group_IT_number 71
_space_group_name_Hall '-I 2 2'
_cell_length_a 3.8525
_cell_length_b 5.6403
_cell_length_c 7.3544
_cell_angle_alpha 90.00
_cell_angle_beta 90.00
_cell_angle_gamma 90.00
loop_
_atom_site_label
_atom_site_fract_x
_atom_site_fract_y
_atom_site_fract_z
Ca1 0.0000 0.0000 0.0000
Ru1 0.0000 0.0000 0.5000
Se1 0.0000 0.5000 0.2035
```

The calculation puts the total magnetization at 0.00 μB per formula unit. Its energy above the most stable polymorph in this dataset is 255 meV per atom. Its uncorrected formation energy is -0.65 eV per atom.

No. 2
This record from Alexandria via LeMat-Bulk describes crystalline GeOsI2O at its relaxed geometry. The functional is PBEsol.

Cell and atoms, written as CIF:
```
data_GeOsI2O
_chemical_formula_sum 'Ge1 Os1 I2 O1'
_space_group_name_H-M_alt 'P 4/m m m'
_space_group_IT_number 123
_space_group_name_Hall '-P 4 2'
_cell_length_a 5.3530
_cell_length_b 5.3530
_cell_length_c 3.5201
_cell_angle_alpha 90.00
_cell_angle_beta 90.00
_cell_angle_gamma 90.00
loop_
_atom_site_label
_atom_site_fract_x
_atom_site_fract_y
_atom_site_fract_z
Ge1 0.0000 0.0000 0.0000
Os1 0.5000 0.5000 0.5000
I1 0.0000 0.5000 0.0000
O1 0.0000 0.0000 0.5000
```

The calculation puts the total magnetization at 0.00 μB per formula unit. Its uncorrected formation energy is 0.86 eV per atom.